1.
! PaTc5, relaxed, DFT GGA-PBE; values from VASP
&SYSTEM
  ibrav = 0, nat = 6, ntyp = 2
/
ATOMIC_SPECIES
Pa 231.04 Pa.upf
Tc 98.00 Tc.upf
CELL_PARAMETERS angstrom
2.035 -6.071 0.000
2.035 6.071 0.000
0.000 0.000 3.998
ATOMIC_POSITIONS crystal
Pa 0.000 0.000 0.000
Tc 0.180 0.820 0.500
Tc 0.314 0.686 0.000
Tc 0.500 0.500 0.500
Tc 0.686 0.314 0.000
Tc 0.820 0.180 0.500
! ΔE_f: -53 meV/atom
! DOS at the Fermi energy: 9.42 states/eV/f.u.
! V: 98.8 Å³/f.u.

***

2.
! Ti4Fe2Tc, relaxed, DFT GGA-PBE; values from VASP
&SYSTEM
  ibrav = 0, nat = 7, ntyp = 3
/
ATOMIC_SPECIES
Ti 47.87 Ti.upf
Fe 55.84 Fe.upf
Tc 98.00 Tc.upf
CELL_PARAMETERS angstrom
-3.003 3.003 2.943
3.003 -3.003 2.943
3.003 3.003 -2.943
ATOMIC_POSITIONS crystal
Ti 0.000 0.000 0.500
Ti 0.000 0.500 0.000
Ti 0.500 0.000 0.000
Ti 0.500 0.500 0.500
Fe 0.000 0.500 0.500
Fe 0.500 0.000 0.500
Tc 0.000 0.000 0.000
! ΔE_f: -180 meV/atom
! DOS at the Fermi energy: 6.58 states/eV/f.u.
! V: 106.1 Å³/f.u.

***

3.
! HfNiGe, relaxed, DFT GGA-PBE; values from VASP
&SYSTEM
  ibrav = 0, nat = 3, ntyp = 3
/
ATOMIC_SPECIES
Hf 178.49 Hf.upf
Ni 58.69 Ni.upf
Ge 72.64 Ge.upf
CELL_PARAMETERS angstrom
4.102 0.000 0.000
-2.051 3.552 0.000
0.000 0.000 3.211
ATOMIC_POSITIONS crystal
Hf 0.000 0.000 0.000
Ni 0.333 0.667 0.500
Ge 0.667 0.333 0.500
! ΔE_f: -668 meV/atom
! DOS at the Fermi energy: 1.43 states/eV/f.u.
! V: 46.8 Å³/f.u.

***

4.
! RbVSb, relaxed, DFT GGA-PBE; values from VASP
&SYSTEM
  ibrav = 0, nat = 6, ntyp = 3
/
ATOMIC_SPECIES
Rb 85.47 Rb.upf
V 50.94 V.upf
Sb 121.76 Sb.upf
CELL_PARAMETERS angstrom
4.202 0.000 0.000
1.377 3.970 0.000
0.867 0.560 13.161
ATOMIC_POSITIONS crystal
Rb 0.207 0.201 0.178
Rb 0.793 0.799 0.822
V 0.403 0.402 0.445
V 0.597 0.598 0.555
Sb 0.204 0.207 0.630
Sb 0.796 0.793 0.370
! Offset from the most stable computed form: 0.21 eV per formula unit
! DOS at the Fermi energy: 1.53 states/eV/f.u.
! V: 109.8 Å³/f.u.
! Formation energy (no corrections): 0.008 eV/atom

***

5.
! PmPrTlSn, relaxed, DFT GGA-PBE; values from VASP
&SYSTEM
  ibrav = 0, nat = 4, ntyp = 4
/
ATOMIC_SPECIES
Pm 145.00 Pm.upf
Pr 140.91 Pr.upf
Tl 204.38 Tl.upf
Sn 118.71 Sn.upf
CELL_PARAMETERS angstrom
4.070 0.000 0.000
0.000 4.070 0.000
0.000 0.000 7.102
ATOMIC_POSITIONS crystal
Pm 0.000 0.000 0.000
Pr 0.000 0.000 0.486
Tl 0.500 0.500 0.748
Sn 0.500 0.500 0.237
! ΔE_f: -517 meV/atom
! Offset from the most stable computed form: 0.00 eV per formula unit
! DOS at the Fermi energy: 4.19 states/eV/f.u.
! V: 117.7 Å³/f.u.

***

6.
! ReHgPb4, relaxed, DFT GGA-PBE; values from VASP
&SYSTEM
  ibrav = 0, nat = 6, ntyp = 3
/
ATOMIC_SPECIES
Re 186.21 Re.upf
Hg 200.59 Hg.upf
Pb 207.20 Pb.upf
CELL_PARAMETERS angstrom
0.000 4.490 4.490
4.490 0.000 4.490
4.490 4.490 0.000
ATOMIC_POSITIONS crystal
Re 0.000 0.000 0.000
Hg 0.750 0.750 0.750
Pb 0.374 0.374 0.374
Pb 0.374 0.374 0.877
Pb 0.374 0.877 0.374
Pb 0.877 0.374 0.374
! ΔE_f: 1072 meV/atom
! DOS at the Fermi energy: 4.08 states/eV/f.u.
! V: 181.1 Å³/f.u.

***

7.
! KPrNpO6, relaxed, DFT GGA-PBE; values from VASP
&SYSTEM
  ibrav = 0, nat = 18, ntyp = 4
/
ATOMIC_SPECIES
K 39.10 K.upf
Pr 140.91 Pr.upf
Np 237.00 Np.upf
O 16.00 O.upf
CELL_PARAMETERS angstrom
6.058 0.000 0.000
-3.029 5.246 0.000
0.000 0.000 9.628
ATOMIC_POSITIONS crystal
K 0.333 0.667 0.250
K 0.667 0.333 0.750
Pr 0.000 0.000 0.000
Pr 0.000 0.000 0.500
Np 0.333 0.667 0.750
Np 0.667 0.333 0.250
O 0.085 0.379 0.628
O 0.085 0.706 0.872
O 0.294 0.379 0.872
O 0.294 0.915 0.628
O 0.379 0.085 0.128
O 0.379 0.294 0.372
O 0.621 0.706 0.628
O 0.621 0.915 0.872
O 0.706 0.085 0.372
O 0.706 0.621 0.128
O 0.915 0.294 0.128
O 0.915 0.621 0.372
! DOS at the Fermi energy: 9.88 states/eV/f.u.
! V: 153.0 Å³/f.u.
! Formation energy (no corrections): -2.377 eV/atom

***

8.
! Tm8As4CS3, relaxed, DFT GGA-PBE; values from VASP
&SYSTEM
  ibrav = 0, nat = 16, ntyp = 4
/
ATOMIC_SPECIES
Tm 168.93 Tm.upf
As 74.92 As.upf
C 12.01 C.upf
S 32.06 S.upf
CELL_PARAMETERS angstrom
3.925 2.266 6.393
-3.925 2.266 6.393
0.000 -4.533 6.393
ATOMIC_POSITIONS crystal
Tm 0.250 0.250 0.250
Tm 0.266 0.266 0.734
Tm 0.266 0.734 0.266
Tm 0.266 0.734 0.734
Tm 0.734 0.266 0.266
Tm 0.734 0.266 0.734
Tm 0.734 0.734 0.266
Tm 0.750 0.750 0.750
As 0.000 0.000 0.000
As 0.000 0.500 0.500
As 0.500 0.000 0.500
As 0.500 0.500 0.000
C 0.500 0.500 0.500
S 0.000 0.000 0.500
S 0.000 0.500 0.000
S 0.500 0.000 0.000
! DOS at the Fermi energy: 2.21 states/eV/f.u.
! V: 341.2 Å³/f.u.
! Formation energy (no corrections): -1.549 eV/atom

***

9.
! Ca2CdH2, relaxed, DFT GGA-PBE; values from VASP
&SYSTEM
  ibrav = 0, nat = 10, ntyp = 3
/
ATOMIC_SPECIES
Ca 40.08 Ca.upf
Cd 112.41 Cd.upf
H 1.01 H.upf
CELL_PARAMETERS angstrom
7.386 0.000 0.000
0.000 7.386 0.000
0.000 0.000 3.323
ATOMIC_POSITIONS crystal
Ca 0.171 0.329 0.000
Ca 0.329 0.829 0.000
Ca 0.671 0.171 0.000
Ca 0.829 0.671 0.000
Cd 0.000 0.000 0.500
Cd 0.500 0.500 0.500
H 0.120 0.620 0.500
H 0.380 0.120 0.500
H 0.620 0.880 0.500
H 0.880 0.380 0.500
! Offset from the most stable computed form: 1.67 eV per formula unit
! DOS at the Fermi energy: 0.92 states/eV/f.u.
! V: 90.7 Å³/f.u.

***

10.
! NaTi2I6, relaxed, DFT GGA-PBE; values from VASP
&SYSTEM
  ibrav = 0, nat = 9, ntyp = 3
/
ATOMIC_SPECIES
Na 22.99 Na.upf
Ti 47.87 Ti.upf
I 126.90 I.upf
CELL_PARAMETERS angstrom
7.250 0.000 0.000
-3.625 6.279 0.000
0.000 0.000 7.222
ATOMIC_POSITIONS crystal
Na 0.000 0.000 0.000
Ti 0.333 0.667 0.500
Ti 0.667 0.333 0.500
I 0.000 0.356 0.726
I 0.000 0.644 0.274
I 0.356 0.000 0.726
I 0.356 0.356 0.274
I 0.644 0.000 0.274
I 0.644 0.644 0.726
! Offset from the most stable computed form: 0.00 eV per formula unit
! DOS at the Fermi energy: 10.53 states/eV/f.u.
! V: 328.7 Å³/f.u.
! Formation energy (no corrections): -0.813 eV/atom

***

11.
! PmNdSBr, relaxed, DFT GGA-PBE; values from VASP
&SYSTEM
  ibrav = 0, nat = 4, ntyp = 4
/
ATOMIC_SPECIES
Pm 145.00 Pm.upf
Nd 144.24 Nd.upf
S 32.06 S.upf
Br 79.90 Br.upf
CELL_PARAMETERS angstrom
3.406 -1.958 0.000
3.406 1.958 0.000
-2.295 0.000 7.804
ATOMIC_POSITIONS crystal
Pm 0.000 0.000 0.000
Nd 0.197 0.197 0.589
S 0.601 0.601 0.800
Br 0.766 0.766 0.296
! DOS at the Fermi energy: 2.58 states/eV/f.u.
! V: 104.1 Å³/f.u.
! Formation energy (no corrections): -1.574 eV/atom

***

12.
! Pr3Dy3Y, relaxed, DFT GGA-PBE; values from VASP
&SYSTEM
  ibrav = 0, nat = 14, ntyp = 3
/
ATOMIC_SPECIES
Pr 140.91 Pr.upf
Dy 162.50 Dy.upf
Y 88.91 Y.upf
CELL_PARAMETERS angstrom
9.730 0.000 0.000
-4.865 8.426 0.000
0.000 0.000 5.806
ATOMIC_POSITIONS crystal
Pr 0.095 0.473 0.250
Pr 0.378 0.905 0.250
Pr 0.473 0.378 0.750
Pr 0.527 0.622 0.250
Pr 0.622 0.095 0.750
Pr 0.905 0.527 0.750
Dy 0.044 0.234 0.750
Dy 0.189 0.956 0.750
Dy 0.234 0.189 0.250
Dy 0.766 0.811 0.750
Dy 0.811 0.044 0.250
Dy 0.956 0.766 0.250
Y 0.333 0.667 0.750
Y 0.667 0.333 0.250
! ΔE_f: 24 meV/atom
! Offset from the most stable computed form: 0.00 eV per formula unit
! DOS at the Fermi energy: 13.36 states/eV/f.u.
! V: 238.0 Å³/f.u.

***

Number 1: calculated total energy -61.64 eV per cell. Number 2: calculated total energy -60.13 eV per cell. Number 3: calculated total energy -22.35 eV per cell. Number 4: calculated total energy -28.37 eV per cell. Number 5: calculated total energy -17.97 eV per cell. Number 6: calculated total energy -21.15 eV per cell. Number 7: calculated total energy -139.92 eV per cell. Number 8: calculated total energy -100.76 eV per cell. Number 9: calculated total energy -24.45 eV per cell. Number 10: calculated total energy -33.72 eV per cell. Number 11: calculated total energy -21.62 eV per cell. Number 12: calculated total energy -68.88 eV per cell.